{
  "formula": "TcTeI3",
  "functional": "PBE",
  "state": "relaxed",
  "lattice_angstrom": [[-0.927, -1.405, -5.212], [4.107, -3.615, 0.244], [-3.503, -3.867, 1.665]],
  "species": ["I", "I", "I", "Te", "Tc"],
  "fractional_positions": [[0.000, 0.500, 0.000], [0.000, 0.000, 0.500], [0.500, 0.000, 0.000], [0.500, 0.500, 0.500], [0.000, 0.000, 0.000]],
  "magmom_total_mub_per_fu": 1.2,
  "raw_formation_energy_kcal_per_mol_atoms": 11.85,
  "energy_ev_per_cell": -15.588,
  "n_ef_per_ev_cell": 3.52,
  "e_above_lowest_polymorph_mev_per_atom": 0
}